Density functional theory data (PBE) for a geometry-optimized Ba2CdAg7 structure.

```
10
Lattice="4.825 0.000 0.000 0.000 4.825 0.000 0.000 0.000 11.297" Properties=species:S:1:pos:R:3 pbc="T T T"
Ba 0.000 2.412 2.725
Ba 2.412 0.000 8.572
Cd 0.000 0.000 5.649
Ag 0.000 0.000 0.000
Ag 0.000 2.412 7.131
Ag 0.000 2.412 9.871
Ag 2.412 0.000 1.426
Ag 2.412 0.000 4.166
Ag 2.412 2.412 0.000
Ag 2.412 2.412 5.649
```

**Fermi-level density of states**: 0.4668 states/eV/atom
**Space-group type**: No. 115
**Formation enthalpy at 0 K**: -0.158 eV per atom
**Total magnetization**: 0.00 μB/cell
**Volume**: 26.3 A^3/atom

---

Density functional theory data (PBE) for a geometry-optimized Y4TeAu structure.

```
24
Lattice="8.398 0.000 0.000 0.000 3.986 0.000 0.000 0.000 19.743" Properties=species:S:1:pos:R:3 pbc="T T T"
Y 0.143 0.997 4.291
Y 0.183 0.997 18.325
Y 1.014 0.997 8.692
Y 1.345 0.997 12.902
Y 2.853 2.990 3.030
Y 3.184 2.990 18.563
Y 4.016 2.990 8.453
Y 4.055 2.990 14.162
Y 4.342 0.997 5.581
Y 4.382 0.997 11.290
Y 5.213 0.997 1.180
Y 5.544 0.997 16.713
Y 7.052 2.990 6.842
Y 7.383 2.990 11.051
Y 8.214 2.990 1.418
Y 8.254 2.990 15.453
Te 1.824 2.990 6.164
Te 2.375 0.997 16.036
Te 6.023 2.990 3.708
Te 6.574 0.997 13.579
Au 2.058 0.997 0.974
Au 2.141 2.990 10.846
Au 6.257 0.997 8.898
Au 6.340 2.990 18.769
```

**Fermi-level density of states**: 1.2993 states/eV/atom
**Energy above the most stable polymorph in this dataset**: 0 meV per atom
**Space-group type**: No. 62
**Uncorrected formation energy**: -753 meV per atom
**Total magnetization**: 0.00 μB/cell
**Volume**: 27.5 A^3/atom

---

Number 1: density 7211 kg/m³. Number 2: density 6836 kg/m³.